Entry from the Alexandria database: a relaxed CaReAsSe2 crystal (PBE).

a b c (Å): 5.3070 5.3070 5.3897
angles (deg): 90.00 90.00 90.00
Each line ends with the local moment (μB).
Positions (direct):
Se (0.0000, 0.5000, 0.0000)  -0.22
Se (0.5000, 0.0000, 0.0000)  -0.22
As (0.0000, 0.0000, 0.5000)  -0.34
Ca (0.0000, 0.0000, 0.0000)  0.00
Re (0.5000, 0.5000, 0.5000)  3.98

Calculated values
Symmetry: P4/mmm, No. 123
Polymorph energy (0 for the lowest one) (eV per atom): 1.455
DOS at the Fermi energy (states/eV per cell): 5.30
Energy relative to the elements, uncorrected (eV per formula unit): 6.65

Entry from the Alexandria database: a relaxed CaReAsSe2 crystal (PBE).

a b c (Å): 5.1498 5.1498 4.7003
angles (deg): 90.00 90.00 90.00
Each line ends with the local moment (μB).
Positions (direct):
Ca (0.5000, 0.5000, 0.5000)  0.02
Se (0.0000, 0.5000, 0.0000)  0.06
Se (0.5000, 0.0000, 0.0000)  0.06
As (0.0000, 0.0000, 0.5000)  -0.02
Re (0.0000, 0.0000, 0.0000)  1.14

Calculated values
Symmetry: P4/mmm, No. 123
Polymorph energy (0 for the lowest one) (eV per atom): 0.000
DOS at the Fermi energy (states/eV per cell): 4.17
Energy relative to the elements, uncorrected (eV per formula unit): -0.63

Entry from the Alexandria database: a relaxed CaRe2SnAs crystal (PBE).

a b c (Å): 4.6532 5.2266 4.6532
angles (deg): 90.00 90.00 90.00
Each line ends with the local moment (μB).
Positions (direct):
Re (0.5000, 0.0000, 0.0000)  0.68
Re (0.0000, 0.0000, 0.5000)  0.79
Ca (0.0000, 0.5000, 0.0000)  -0.02
Sn (0.5000, 0.5000, 0.5000)  0.00
As (0.0000, 0.0000, 0.0000)  -0.02

Calculated values
Symmetry: P4/mmm, No. 123
Calculated formation energy (eV per atom): 0.904
DOS at the Fermi energy (states/eV per cell): 4.52

Entry from the Alexandria database: a relaxed CaRe2TcAs crystal (PBE).

a b c (Å): 4.5793 5.0311 4.5793
angles (deg): 90.00 90.00 90.00
Each line ends with the local moment (μB).
Positions (direct):
Re (0.0000, 0.0000, 0.5000)  0.03
Re (0.5000, 0.0000, 0.0000)  0.01
Ca (0.0000, 0.5000, 0.0000)  0.01
As (0.0000, 0.0000, 0.0000)  0.01
Tc (0.5000, 0.5000, 0.5000)  2.63

Calculated values
Symmetry: P4/mmm, No. 123
Calculated formation energy (eV per atom): 1.498
DOS at the Fermi energy (states/eV per cell): 6.57

Entry from the Alexandria database: a relaxed CaTlReAs2 crystal (PBE).

a b c (Å): 5.2161 5.4736 5.2161
angles (deg): 90.00 90.00 90.00
Positions (direct):
Ca (0.0000, 0.0000, 0.0000)
Re (0.5000, 0.5000, 0.5000)
Tl (0.0000, 0.5000, 0.0000)
As (0.0000, 0.0000, 0.5000)
As (0.5000, 0.0000, 0.0000)

Calculated values
Symmetry: P4/mmm, No. 123
Calculated formation energy (eV per atom): 1.930
DOS at the Fermi energy (states/eV per cell): 20.62

Entry from the Alexandria database: a relaxed CaAs3Rh3 crystal (PBE).

a b c (Å): 6.7490 6.7490 6.7490
angles (deg): 90.00 90.00 90.00
Positions (direct):
Ca (0.0000, 0.0000, 0.0000)
Ca (0.5000, 0.5000, 0.5000)
Rh (0.5000, 0.2500, 0.0000)
Rh (0.2500, 0.0000, 0.5000)
Rh (0.0000, 0.5000, 0.7500)
Rh (0.0000, 0.5000, 0.2500)
Rh (0.7500, 0.0000, 0.5000)
Rh (0.5000, 0.7500, 0.0000)
As (0.2500, 0.5000, 0.0000)
As (0.0000, 0.2500, 0.5000)
As (0.5000, 0.0000, 0.2500)
As (0.0000, 0.7500, 0.5000)
As (0.5000, 0.0000, 0.7500)
As (0.7500, 0.5000, 0.0000)

Calculated values
Symmetry: Pm-3n, No. 223
Calculated formation energy (eV per atom): -0.379
DOS at the Fermi energy (states/eV per cell): 12.40

Entry from the Alexandria database: a relaxed CaAs2Rh crystal (PBE).

a b c (Å): 3.5012 3.5090 6.4520
angles (deg): 90.00 90.00 90.00
Positions (direct):
Rh (0.5000, 0.5000, 0.8318)
As (0.0000, 0.0000, 0.9578)
As (0.5000, 0.5000, 0.2237)
Ca (0.0000, 0.0000, 0.4866)

Calculated values
Symmetry: P4mm, No. 99
Calculated formation energy (eV per atom): -0.368
DOS at the Fermi energy (states/eV per cell): 3.35

Entry from the Alexandria database: a relaxed Ca2AsRh crystal (PBE).

a b c (Å): 3.9554 4.6313 4.6313
angles (deg): 90.00 90.00 90.00
Positions (direct):
As (0.5000, 0.0000, 0.5000)
Ca (0.0000, 0.5000, 0.5000)
Ca (0.0000, 0.0000, 0.0000)
Rh (0.5000, 0.5000, 0.0000)

Calculated values
Symmetry: P4/mmm, No. 123
Calculated formation energy (eV per atom): -0.619
DOS at the Fermi energy (states/eV per cell): 1.34

Entry from the Alexandria database: a relaxed Ca2AsRh crystal (PBE).

a b c (Å): 7.7530 7.7530 7.7530
angles (deg): 31.87 31.87 31.87
Positions (direct):
Rh (0.4571, 0.4571, 0.4571)
Ca (0.0417, 0.0417, 0.0417)
Ca (0.2084, 0.2084, 0.2084)
As (0.7929, 0.7929, 0.7929)

Calculated values
Symmetry: R3m, No. 160
Calculated formation energy (eV per atom): -0.706
DOS at the Fermi energy (states/eV per cell): 2.71

Entry from the Alexandria database: a relaxed CaAs2Rh crystal (PBE).

a b c (Å): 4.7159 4.7159 4.7159
angles (deg): 60.00 60.00 60.00
Positions (direct):
As (0.7500, 0.7500, 0.7500)
As (0.2500, 0.2500, 0.2500)
Rh (0.5000, 0.5000, 0.5000)
Ca (0.0000, 0.0000, 0.0000)

Calculated values
Symmetry: Fm-3m, No. 225
Calculated formation energy (eV per atom): -0.432
DOS at the Fermi energy (states/eV per cell): 1.74

Entry from the Alexandria database: a relaxed CaAs2Rh crystal (PBE).

a b c (Å): 4.7489 4.7489 4.7489
angles (deg): 60.00 60.00 60.00
Positions (direct):
Ca (0.5000, 0.5000, 0.5000)
Rh (0.7500, 0.7500, 0.7500)
As (0.2500, 0.2500, 0.2500)
As (0.0000, 0.0000, 0.0000)

Calculated values
Symmetry: F-43m, No. 216
Calculated formation energy (eV per atom): -0.166
DOS at the Fermi energy (states/eV per cell): 2.89

Entry from the Alexandria database: a relaxed CaAsRh crystal (PBE).

a b c (Å): 4.5753 5.9900 7.8248
angles (deg): 112.50 107.00 90.00
Positions (direct):
Rh (0.3276, 0.4622, 0.6552)
Rh (0.0000, 0.3011, 0.0000)
Rh (0.6724, 0.8070, 0.3448)
As (0.8244, 0.2438, 0.6488)
As (0.1756, 0.5950, 0.3512)
As (0.5000, 0.4766, 0.0000)
Ca (0.6460, 0.2733, 0.2921)
Ca (0.0000, 0.7976, 0.0000)
Ca (0.3540, 0.9813, 0.7079)

Calculated values
Symmetry: Imm2, No. 44
Calculated formation energy (eV per atom): -0.631
DOS at the Fermi energy (states/eV per cell): 5.03

Entry from the Alexandria database: a relaxed CaAs2Rh crystal (PBE).

a b c (Å): 4.9156 4.9156 4.9156
angles (deg): 129.93 109.23 91.65
Positions (direct):
Rh (0.2500, 0.7500, 0.5000)
As (0.0516, 0.0516, 0.0000)
As (0.4484, 0.4484, 0.0000)
Ca (0.7500, 0.2500, 0.5000)

Calculated values
Symmetry: Immm, No. 71
Calculated formation energy (eV per atom): -0.562
DOS at the Fermi energy (states/eV per cell): 1.94

Entry from the Alexandria database: a relaxed CaAs2Rh crystal (PBE).

a b c (Å): 4.3502 4.3502 3.9222
angles (deg): 90.00 90.00 93.25
Positions (direct):
Ca (0.5000, 0.0000, 0.5000)
As (0.5000, 0.5000, 0.0000)
As (0.0000, 0.0000, 0.0000)
Rh (0.0000, 0.5000, 0.5000)

Calculated values
Symmetry: Cmmm, No. 65
Calculated formation energy (eV per atom): -0.369
DOS at the Fermi energy (states/eV per cell): 2.55

Entry from the Alexandria database: a relaxed CaAs2Rh crystal (PBE).

a b c (Å): 8.4535 8.4535 8.4535
angles (deg): 23.46 23.46 23.46
Positions (direct):
As (0.9880, 0.9880, 0.9880)
As (0.7431, 0.7431, 0.7431)
Ca (0.5039, 0.5039, 0.5039)
Rh (0.2650, 0.2650, 0.2650)

Calculated values
Symmetry: R3m, No. 160
Calculated formation energy (eV per atom): -0.175
DOS at the Fermi energy (states/eV per cell): 1.29

Entry from the Alexandria database: a relaxed CaAsRh crystal (PBE).

a b c (Å): 4.1613 4.1613 7.5177
angles (deg): 106.07 106.07 90.00
Positions (direct):
Ca (0.6569, 0.6569, 0.3137)
Ca (0.3431, 0.3431, 0.6863)
As (0.8871, 0.8871, 0.7741)
As (0.1129, 0.1129, 0.2259)
Rh (0.5000, 0.0000, 0.0000)
Rh (0.0000, 0.5000, 0.0000)

Calculated values
Symmetry: I4/mmm, No. 139
Calculated formation energy (eV per atom): -0.882
DOS at the Fermi energy (states/eV per cell): 3.82

Entry from the Alexandria database: a relaxed Ca2AsRh crystal (PBE).

a b c (Å): 4.8075 4.8075 4.8075
angles (deg): 120.06 120.06 89.90
Positions (direct):
Ca (0.0000, 0.0000, 0.0000)
Ca (0.2500, 0.7500, 0.5000)
Rh (0.5000, 0.5000, 0.0000)
As (0.7500, 0.2500, 0.5000)

Calculated values
Symmetry: F-43m, No. 216
Calculated formation energy (eV per atom): -0.504
DOS at the Fermi energy (states/eV per cell): 0.23

Entry from the Alexandria database: a relaxed Ca2AsRh crystal (PBE).

a b c (Å): 7.8106 7.8106 6.2652
angles (deg): 51.44 51.44 90.00
Positions (direct):
Ca (0.1007, 0.6250, 0.2500)
Ca (0.8750, 0.8993, 0.7500)
Ca (0.3750, 0.3507, 0.7500)
Ca (0.6493, 0.1250, 0.2500)
As (0.5000, 0.5000, 0.0000)
As (0.2500, 0.7500, 0.5000)
Rh (0.7500, 0.2500, 0.5000)
Rh (0.0000, 0.0000, 0.0000)

Calculated values
Symmetry: I-42d, No. 122
Calculated formation energy (eV per atom): -0.332
DOS at the Fermi energy (states/eV per cell): 1.86

Entry from the Alexandria database: a relaxed Ca2AsRh crystal (PBE).

a b c (Å): 3.4624 3.4624 8.1936
angles (deg): 90.00 90.00 90.00
Positions (direct):
Rh (0.0000, 0.0000, 0.5716)
Ca (0.5000, 0.5000, 0.3167)
Ca (0.0000, 0.0000, 0.9292)
As (0.5000, 0.5000, 0.6825)

Calculated values
Symmetry: P4mm, No. 99
Calculated formation energy (eV per atom): -0.432
DOS at the Fermi energy (states/eV per cell): 3.12

Entry from the Alexandria database: a relaxed CaAsRh crystal (PBE).

a b c (Å): 4.4707 4.4707 4.4707
angles (deg): 60.00 60.00 60.00
Positions (direct):
Ca (0.5000, 0.5000, 0.5000)
As (0.0000, 0.0000, 0.0000)
Rh (0.7500, 0.7500, 0.7500)

Calculated values
Symmetry: F-43m, No. 216
Calculated formation energy (eV per atom): -0.512
DOS at the Fermi energy (states/eV per cell): 3.02

Entry from the Alexandria database: a relaxed Ca2AsRh crystal (PBE).

a b c (Å): 6.5881 6.5881 6.5881
angles (deg): 149.40 139.03 51.99
Positions (direct):
As (0.3143, 0.8143, 0.5000)
Rh (0.4633, 0.4633, 0.0000)
Ca (0.7239, 0.2239, 0.5000)
Ca (0.9985, 0.9985, 0.0000)

Calculated values
Symmetry: Imm2, No. 44
Calculated formation energy (eV per atom): -0.681
DOS at the Fermi energy (states/eV per cell): 0.36

Entry from the Alexandria database: a relaxed Ca2AsRh crystal (PBE).

a b c (Å): 4.0040 4.0040 6.0283
angles (deg): 90.00 90.00 90.00
Positions (direct):
Rh (0.0000, 0.0000, 0.4558)
Ca (0.5000, 0.5000, 0.3159)
Ca (0.0000, 0.0000, 0.9359)
As (0.5000, 0.5000, 0.7924)

Calculated values
Symmetry: P4mm, No. 99
Calculated formation energy (eV per atom): -0.238
DOS at the Fermi energy (states/eV per cell): 5.56

Entry from the Alexandria database: a relaxed Ca3As2Rh crystal (PBE).

a b c (Å): 4.1930 11.8703 11.6878
angles (deg): 90.00 90.00 90.00
Positions (direct):
Ca (0.2500, 0.4498, 0.3816)
Ca (0.2500, 0.1227, 0.5582)
Ca (0.7500, 0.8773, 0.4418)
Ca (0.2500, 0.3773, 0.0582)
Ca (0.2500, 0.6980, 0.2134)
Ca (0.7500, 0.5502, 0.6184)
Ca (0.7500, 0.6227, 0.9418)
Ca (0.7500, 0.9498, 0.1184)
Ca (0.2500, 0.0502, 0.8816)
Ca (0.2500, 0.8020, 0.7134)
Ca (0.7500, 0.3020, 0.7866)
Ca (0.7500, 0.1980, 0.2866)
As (0.2500, 0.4879, 0.8060)
As (0.7500, 0.3077, 0.5173)
As (0.2500, 0.8077, 0.9827)
As (0.7500, 0.9879, 0.6940)
As (0.2500, 0.6923, 0.4827)
As (0.2500, 0.0121, 0.3060)
As (0.7500, 0.5121, 0.1940)
As (0.7500, 0.1923, 0.0173)
Rh (0.7500, 0.6361, 0.3723)
Rh (0.2500, 0.1361, 0.1277)
Rh (0.2500, 0.3639, 0.6277)
Rh (0.7500, 0.8639, 0.8723)

Calculated values
Symmetry: Pnma, No. 62
Calculated formation energy (eV per atom): -0.984
DOS at the Fermi energy (states/eV per cell): 9.26

Entry from the Alexandria database: a relaxed CaAs2Rh crystal (PBE).

a b c (Å): 3.1192 3.1192 8.6145
angles (deg): 90.00 90.00 90.00
Positions (direct):
Rh (0.5000, 0.5000, 0.7828)
As (0.5000, 0.5000, 0.2704)
As (0.0000, 0.0000, 0.9244)
Ca (0.0000, 0.0000, 0.5224)

Calculated values
Symmetry: P4mm, No. 99
Calculated formation energy (eV per atom): -0.328
DOS at the Fermi energy (states/eV per cell): 1.57

Entry from the Alexandria database: a relaxed CaAs2Rh crystal (PBE).

a b c (Å): 4.1066 4.4879 4.7400
angles (deg): 79.70 90.00 90.00
Positions (direct):
As (0.0000, 0.6156, 0.5117)
As (0.0000, 0.8844, 0.9883)
Ca (0.5000, 0.2500, 0.2500)
Rh (0.5000, 0.7500, 0.7500)

Calculated values
Symmetry: P2/m, No. 10
Calculated formation energy (eV per atom): -0.650
DOS at the Fermi energy (states/eV per cell): 2.12

Entry from the Alexandria database: a relaxed CaAsRh3 crystal (PBE).

a b c (Å): 4.6051 4.6051 4.6051
angles (deg): 90.00 90.00 90.00
Positions (direct):
Rh (0.0000, 0.0000, 0.5000)
Rh (0.5000, 0.0000, 0.0000)
Rh (0.0000, 0.5000, 0.0000)
Ca (0.5000, 0.5000, 0.5000)
As (0.0000, 0.0000, 0.0000)

Calculated values
Symmetry: Pm-3m, No. 221
Calculated formation energy (eV per atom): -0.244
DOS at the Fermi energy (states/eV per cell): 0.82

Entry from the Alexandria database: a relaxed CaAs2Rh crystal (PBE).

a b c (Å): 3.2206 3.2206 7.1960
angles (deg): 90.00 90.00 90.10
Positions (direct):
Ca (0.5000, 0.5000, 0.2500)
Rh (0.5000, 0.5000, 0.7500)
As (0.0000, 0.0000, 0.9562)
As (0.0000, 0.0000, 0.5438)

Calculated values
Symmetry: Cmmm, No. 65
Calculated formation energy (eV per atom): -0.407
DOS at the Fermi energy (states/eV per cell): 1.64

Entry from the Alexandria database: a relaxed Ca2AsRh2 crystal (PBE).

a b c (Å): 5.6633 5.6633 7.6397
angles (deg): 79.70 79.70 60.15
Positions (direct):
As (0.1087, 0.8913, 0.2500)
As (0.8913, 0.1087, 0.7500)
Ca (0.4834, 0.2182, 0.1494)
Ca (0.7818, 0.5166, 0.3506)
Ca (0.2182, 0.4834, 0.6494)
Ca (0.5166, 0.7818, 0.8506)
Rh (0.9924, 0.2610, 0.9972)
Rh (0.7390, 0.0076, 0.5028)
Rh (0.2610, 0.9924, 0.4972)
Rh (0.0076, 0.7390, 0.0028)

Calculated values
Symmetry: C2/c, No. 15
Calculated formation energy (eV per atom): -0.749
Polymorph energy (0 for the lowest one) (eV per atom): 0.000
DOS at the Fermi energy (states/eV per cell): 3.37